<one>
A relaxed structure of InB2As, computed with GGA-PBE.

abc: 4.3561 4.3561 4.3561
angles: 60.00 60.00 60.00
Sites, in units of the cell vectors:
B 0.2500 0.2500 0.2500
In 0.5000 0.5000 0.5000
As 0.0000 0.0000 0.0000
B 0.7500 0.7500 0.7500

Results
* magnetization: 0.00 μB/f.u.

***

<two>
A relaxed structure of InB2As, computed with GGA-PBE.

abc: 5.2612 5.2612 6.0166
angles: 64.07 64.07 90.00
Sites, in units of the cell vectors:
B 0.1703 0.6250 0.2500
As 0.2500 0.7500 0.5000
B 0.3750 0.4203 0.7500
B 0.8750 0.8297 0.7500
B 0.5797 0.1250 0.2500
In 0.0000 0.0000 0.0000
As 0.5000 0.5000 0.0000
In 0.7500 0.2500 0.5000

Results
* magnetization: 0.00 μB/f.u.

***

Most stable to least stable, the ends of the list are <two> and <one>.

***

<one>
A relaxed structure of BAsIr2, computed with GGA-PBE.

abc: 5.0915 5.0915 6.2539
angles: 65.98 65.98 90.00
Sites, in units of the cell vectors:
Ir 0.1840 0.6250 0.2500
Ir 0.5660 0.1250 0.2500
Ir 0.8750 0.8160 0.7500
B 0.2500 0.7500 0.5000
Ir 0.3750 0.4340 0.7500
As 0.7500 0.2500 0.5000
B 0.5000 0.5000 0.0000
As 0.0000 0.0000 0.0000

Results
* magnetization: 0.00 μB/f.u.

***

<two>
A relaxed structure of BAsIr2, computed with GGA-PBE.

abc: 4.1912 4.1912 4.1912
angles: 60.00 60.00 60.00
Sites, in units of the cell vectors:
Ir 0.7500 0.7500 0.7500
As 0.5000 0.5000 0.5000
Ir 0.2500 0.2500 0.2500
B 0.0000 0.0000 0.0000

Results
* magnetization: 0.73 μB/f.u.

***

Most stable to least stable, the ends of the list are <one> and <two>.

***

<one>
A relaxed structure of BAs3Ir, computed with GGA-PBE.

abc: 4.8482 4.8482 4.8482
angles: 90.00 90.00 90.00
Sites, in units of the cell vectors:
As 0.5000 0.0000 0.0000
As 0.0000 0.5000 0.0000
As 0.0000 0.0000 0.5000
Ir 0.0000 0.0000 0.0000
B 0.5000 0.5000 0.5000

Results
* magnetization: 0.00 μB/f.u.

***

<two>
A relaxed structure of BAs3Ir, computed with GGA-PBE.

abc: 4.2691 4.2691 4.2691
angles: 90.00 90.00 90.00
Sites, in units of the cell vectors:
B 0.0000 0.0000 0.0000
As 0.0000 0.5000 0.0000
Ir 0.5000 0.5000 0.5000
As 0.5000 0.0000 0.0000
As 0.0000 0.0000 0.5000

Results
* magnetization: 0.00 μB/f.u.

***

Most stable to least stable, the ends of the list are <two> and <one>.

***

<one>
A relaxed structure of KBAs, computed with GGA-PBE.

abc: 5.0607 5.0849 7.7032
angles: 83.43 83.31 85.89
Sites, in units of the cell vectors:
As 0.2696 0.2640 0.2918
B 0.4284 0.4266 0.0886
K 0.1967 0.2028 0.7514
K 0.8033 0.7972 0.2486
As 0.7304 0.7360 0.7082
B 0.5716 0.5734 0.9114

Results
* magnetization: 0.00 μB/f.u.

***

<two>
A relaxed structure of KBAs, computed with GGA-PBE.

abc: 9.0502 4.9560 7.4087
angles: 90.00 90.00 90.00
Sites, in units of the cell vectors:
As 0.5000 0.0000 0.6237
K 0.7721 0.5000 0.5498
B 0.0000 0.6631 0.8729
B 0.5000 0.1631 0.3729
K 0.2721 0.0000 0.0498
B 0.0000 0.3369 0.8729
As 0.5000 0.5000 0.2238
K 0.2279 0.5000 0.5498
B 0.5000 0.8369 0.3729
As 0.0000 0.5000 0.1237
K 0.7279 0.0000 0.0498
As 0.0000 0.0000 0.7238

Results
* magnetization: 0.00 μB/f.u.

***

Most stable to least stable, the ends of the list are <two> and <one>.